The following is a DFT calculation (PBE) of a geometry-optimized ZrTlP2 structure.

Properties
- VASP energy: -5.45 eV/atom
- Offset from the most stable computed form: 497 meV per atom
- Size of the total moment: 0.0 μB/f.u.
- Energy of formation: -0.015 eV per atom

Cell: 3.865 5.061 8.041 Å, 90.00 90.00 90.00°
Space group Immm (No. 71)
Unique sites:
Zr: 0.000 0.000 0.000 (multiplicity 2)
Tl: 0.000 0.000 0.500 (multiplicity 2)
P: 0.000 0.500 0.258 (multiplicity 4)

The following is a DFT calculation (PBE) of a geometry-optimized Cd2CoTe structure.

Properties
- VASP energy: -2.89 eV/atom
- ΔE_f (raw): 0.13 eV/atom
- Size of the total moment: 0.0 μB/f.u.

Cell: 3.4908 3.4908 25.2462 Å, 90.00 90.00 120.00°
Space group R3m (No. 160, hexagonal axes)
Unique sites:
Cd: 0.0000 0.0000 0.0000 (multiplicity 3)
Cd: 0.0000 0.0000 0.2401 (multiplicity 3)
Co: 0.0000 0.0000 0.7414 (multiplicity 3)
Te: 0.0000 0.0000 0.4631 (multiplicity 3)

The following is a DFT calculation (PBE) of a geometry-optimized CaPuMgGe structure.

Properties
- VASP energy: -5.81 eV/atom
- Size of the total moment: 6.2 μB/f.u.
- Energy of formation: -0.175 eV per atom

Cell: 7.384 7.384 7.384 Å, 90.00 90.00 90.00°
Space group F-43m (No. 216)
Unique sites:
Ca: 0.000 0.000 0.000 (multiplicity 4)
Pu: 0.000 0.000 0.500 (multiplicity 4)
Mg: 0.250 0.250 0.750 (multiplicity 4)
Ge: 0.250 0.250 0.250 (multiplicity 4)

The following is a DFT calculation (PBE) of a geometry-optimized Pu2BiAu3 structure.

Properties
- VASP energy: -7.41 eV/atom
- Size of the total moment: 5.4 μB/f.u.
- Energy of formation: -0.351 eV per atom

Cell: 7.921 9.137 8.201 Å, 90.00 104.59 90.00°
Space group P2_1/m (No. 11)
Unique sites:
Pu: 0.038 0.250 0.351 (multiplicity 2)
Pu: 0.044 0.750 0.996 (multiplicity 2)
Pu: 0.326 0.750 0.487 (multiplicity 2)
Pu: 0.391 0.250 0.887 (multiplicity 2)
Bi: 0.298 0.022 0.180 (multiplicity 4)
Au: 0.029 0.093 0.690 (multiplicity 4)
Au: 0.318 0.596 0.831 (multiplicity 4)
Au: 0.348 0.086 0.551 (multiplicity 4)

The following is a DFT calculation (PBE) of a geometry-optimized CsMg3Pd structure.

Properties
- VASP energy: -0.67 eV/atom
- Offset from the most stable computed form: 1582 meV per atom
- Size of the total moment: 0.0 μB/f.u.
- Energy of formation: 1.496 eV per atom

Cell: 6.985 6.985 6.985 Å, 90.00 90.00 90.00°
Space group Pm-3m (No. 221)
Unique sites:
Cs: 0.000 0.000 0.000 (multiplicity 1)
Mg: 0.000 0.000 0.500 (multiplicity 3)
Pd: 0.500 0.500 0.500 (multiplicity 1)

The following is a DFT calculation (PBE) of a geometry-optimized TiMnGe2 structure.

Properties
- VASP energy: -6.63 eV/atom
- Offset from the most stable computed form: 368 meV per atom
- Size of the total moment: 0.0 μB/f.u.
- Energy of formation: -0.054 eV per atom

Cell: 6.115 6.115 6.115 Å, 90.00 90.00 90.00°
Space group Fm-3m (No. 225)
Unique sites:
Ti: 0.000 0.000 0.000 (multiplicity 4)
Mn: 0.000 0.000 0.500 (multiplicity 4)
Ge: 0.250 0.250 0.250 (multiplicity 8)

The following is a DFT calculation (PBE) of a geometry-optimized NaScHgF6 structure.

Properties
- VASP energy: -4.96 eV/atom
- ΔE_f (raw): -2.83 eV/atom
- Size of the total moment: 0.0 μB/f.u.

Cell: 5.8445 5.8445 9.4243 Å, 90.00 90.00 120.00°
Space group P-31c (No. 163)
Unique sites:
Na: 0.0000 0.0000 0.0000 (multiplicity 2)
Sc: 0.3333 0.6667 0.2500 (multiplicity 2)
Hg: 0.3333 0.6667 0.7500 (multiplicity 2)
F: 0.0393 0.3710 0.1328 (multiplicity 12)

The following is a DFT calculation (PBE) of a geometry-optimized TbMg3Zn4 structure.

Properties
- VASP energy: -2.00 eV/atom
- Size of the total moment: 0.0 μB/f.u.
- Energy of formation: -0.185 eV per atom

Cell: 4.641 4.641 7.152 Å, 90.00 90.00 90.00°
Space group P4/mmm (No. 123)
Unique sites:
Tb: 0.000 0.000 0.000 (multiplicity 1)
Mg: 0.000 0.000 0.500 (multiplicity 1)
Mg: 0.500 0.500 0.000 (multiplicity 1)
Mg: 0.500 0.500 0.500 (multiplicity 1)
Zn: 0.000 0.500 0.264 (multiplicity 4)

The following is a DFT calculation (PBE) of a geometry-optimized CaTl2Pb5 structure.

Properties
- VASP energy: -3.26 eV/atom
- Size of the total moment: 0.0 μB/f.u.
- Energy of formation: -0.101 eV per atom

Cell: 8.482 8.482 6.890 Å, 90.00 90.00 90.00°
Space group I4/mmm (No. 139)
Unique sites:
Ca: 0.000 0.000 0.000 (multiplicity 2)
Tl: 0.000 0.500 0.000 (multiplicity 4)
Pb: 0.000 0.000 0.500 (multiplicity 2)
Pb: 0.250 0.250 0.250 (multiplicity 8)

The following is a DFT calculation (PBE) of a geometry-optimized CoAgPt structure.

Properties
- VASP energy: -4.91 eV/atom
- Offset from the most stable computed form: 373 meV per atom
- Size of the total moment: 2.3 μB/f.u.
- Energy of formation: 0.419 eV per atom

Cell: 5.878 5.878 5.878 Å, 90.00 90.00 90.00°
Space group F-43m (No. 216)
Unique sites:
Co: 0.000 0.000 0.000 (multiplicity 4)
Ag: 0.250 0.250 0.250 (multiplicity 4)
Pt: 0.250 0.250 0.750 (multiplicity 4)

The following is a DFT calculation (PBE) of a geometry-optimized Tb2TmPaP4 structure.

Properties
- VASP energy: -7.15 eV/atom
- Size of the total moment: 0.0 μB/f.u.
- Energy of formation: -1.545 eV per atom

Cell: 6.887 3.994 6.912 Å, 90.00 109.47 90.00°
Space group P2/m (No. 10)
Unique sites:
Tb: 0.000 0.000 0.000 (multiplicity 1)
Tb: 0.500 0.500 0.000 (multiplicity 1)
Tm: 0.000 0.500 0.500 (multiplicity 1)
Pa: 0.500 0.000 0.500 (multiplicity 1)
P: 0.250 0.000 0.743 (multiplicity 2)
P: 0.252 0.500 0.256 (multiplicity 2)

The following is a DFT calculation (PBE) of a geometry-optimized DyHoScAl structure.

Properties
- VASP energy: -5.01 eV/atom
- Offset from the most stable computed form: 0 meV per atom
- Size of the total moment: 0.0 μB/f.u.
- Energy of formation: -0.198 eV per atom

Cell: 4.577 4.675 4.676 Å, 90.00 90.00 90.00°
Space group Pmmm (No. 47)
Unique sites:
Dy: 0.000 0.000 0.000 (multiplicity 1)
Ho: 0.000 0.500 0.500 (multiplicity 1)
Sc: 0.500 0.500 0.000 (multiplicity 1)
Al: 0.500 0.000 0.500 (multiplicity 1)

The following is a DFT calculation (PBE) of a geometry-optimized NpGeI2 structure.

Properties
- VASP energy: -4.74 eV/atom
- ΔE_f (raw): 0.43 eV/atom
- Size of the total moment: 5.3 μB/f.u.

Cell: 3.8108 3.8108 31.9017 Å, 90.00 90.00 120.00°
Space group R-3m (No. 166, hexagonal axes)
Unique sites:
Np: 0.0000 0.0000 0.0000 (multiplicity 3)
Ge: 0.0000 0.0000 0.5000 (multiplicity 3)
I: 0.0000 0.0000 0.0966 (multiplicity 6)

The following is a DFT calculation (PBE) of a geometry-optimized TaNb2GaH structure.

Properties
- VASP energy: -7.85 eV/atom
- Size of the total moment: 0.0 μB/f.u.

Cell: 4.238 4.238 4.016 Å, 90.00 90.00 90.00°
Space group P4/mmm (No. 123)
Unique sites:
Ta: 0.000 0.000 0.000 (multiplicity 1)
Nb: 0.000 0.500 0.500 (multiplicity 2)
Ga: 0.500 0.500 0.000 (multiplicity 1)
H: 0.000 0.000 0.500 (multiplicity 1)

The following is a DFT calculation (PBE) of a geometry-optimized Ca3Si2Pd4 structure.

Properties
- VASP energy: -4.93 eV/atom
- Offset from the most stable computed form: 0 meV per atom
- ΔE_f (raw): -0.75 eV/atom
- Size of the total moment: 0.0 μB/f.u.

Cell: 10.574 4.173 8.624 Å, 90.00 101.34 90.00°
Space group C2/m (No. 12)
Unique sites:
Ca: 0.000 0.000 0.000 (multiplicity 2)
Ca: 0.118 0.500 0.384 (multiplicity 4)
Si: 0.184 0.500 0.788 (multiplicity 4)
Pd: 0.097 0.000 0.640 (multiplicity 4)
Pd: 0.221 0.500 0.087 (multiplicity 4)

The following is a DFT calculation (PBE) of a geometry-optimized Mn2Ge2Rh structure.

Properties
- VASP energy: -7.13 eV/atom
- Offset from the most stable computed form: 0 meV per atom
- Size of the total moment: 6.9 μB/f.u.
- Energy of formation: -0.146 eV per atom

Cell: 6.415 6.415 3.623 Å, 90.00 90.00 90.00°
Space group P4/mbm (No. 127)
Unique sites:
Mn: 0.158 0.342 0.000 (multiplicity 4)
Ge: 0.143 0.643 0.500 (multiplicity 4)
Rh: 0.000 0.000 0.500 (multiplicity 2)

The following is a DFT calculation (PBE) of a geometry-optimized NaAlO structure.

Properties
- VASP energy: -4.81 eV/atom
- Offset from the most stable computed form: 0 meV per atom
- ΔE_f (raw): -1.47 eV/atom
- Size of the total moment: 0.0 μB/f.u.

Cell: 4.849 7.125 5.375 Å, 90.00 90.00 90.00°
Space group Ima2 (No. 46)
Unique sites:
Na: 0.250 0.129 0.000 (multiplicity 4)
Al: 0.250 0.603 0.023 (multiplicity 4)
O: 0.250 0.680 0.346 (multiplicity 4)

The following is a DFT calculation (PBE) of a geometry-optimized TcTeSN2 structure.

Properties
- VASP energy: -5.15 eV/atom
- Offset from the most stable computed form: 1098 meV per atom
- ΔE_f (raw): 1.71 eV/atom
- Size of the total moment: 4.3 μB/f.u.

Cell: 3.929 3.929 5.469 Å, 90.00 90.00 90.00°
Space group P4/mmm (No. 123)
Unique sites:
Tc: 0.000 0.000 0.000 (multiplicity 1)
Te: 0.500 0.500 0.500 (multiplicity 1)
S: 0.500 0.500 0.000 (multiplicity 1)
N: 0.000 0.500 0.500 (multiplicity 2)

The following is a DFT calculation (PBE) of a geometry-optimized PWCl structure.

Properties
- VASP energy: -6.35 eV/atom
- Offset from the most stable computed form: 424 meV per atom
- ΔE_f (raw): 0.39 eV/atom
- Size of the total moment: 2.0 μB/f.u.

Cell: 6.052 6.052 6.052 Å, 90.00 90.00 90.00°
Space group F-43m (No. 216)
Unique sites:
P: 0.000 0.000 0.000 (multiplicity 4)
W: 0.250 0.250 0.250 (multiplicity 4)
Cl: 0.000 0.000 0.500 (multiplicity 4)

The following is a DFT calculation (PBE) of a geometry-optimized Mg2AlNi3 structure.

Properties
- VASP energy: -4.42 eV/atom
- Offset from the most stable computed form: 0 meV per atom
- Size of the total moment: 0.0 μB/f.u.
- Energy of formation: -0.378 eV per atom

Cell: 5.0216 5.0216 7.6342 Å, 90.00 90.00 120.00°
Space group P6_3/mmc (No. 194)
Unique sites:
Mg: 0.3333 0.6667 0.0656 (multiplicity 4)
Al: 0.0000 0.0000 0.0000 (multiplicity 2)
Ni: 0.1719 0.3439 0.7500 (multiplicity 6)

The following is a DFT calculation (PBE) of a geometry-optimized ScAgAsS2 structure.

Properties
- VASP energy: -4.25 eV/atom
- ΔE_f (raw): 0.16 eV/atom
- Size of the total moment: 1.0 μB/f.u.

Cell: 4.771 4.771 5.536 Å, 90.00 90.00 90.00°
Space group P4/mmm (No. 123)
Unique sites:
Sc: 0.000 0.000 0.000 (multiplicity 1)
Ag: 0.000 0.000 0.500 (multiplicity 1)
As: 0.500 0.500 0.500 (multiplicity 1)
S: 0.000 0.500 0.000 (multiplicity 2)

The following is a DFT calculation (PBE) of a geometry-optimized Ca3Mg2Tl4Cd2 structure.

Properties
- VASP energy: -2.08 eV/atom
- Size of the total moment: 0.0 μB/f.u.
- Energy of formation: -0.216 eV per atom

Cell: 5.0865 5.0865 13.8718 Å, 90.00 90.00 120.00°
Space group P-3m1 (No. 164)
Unique sites:
Ca: 0.0000 0.0000 0.0000 (multiplicity 1)
Ca: 0.0000 0.0000 0.2688 (multiplicity 2)
Mg: 0.3333 0.6667 0.5764 (multiplicity 2)
Tl: 0.3333 0.6667 0.3665 (multiplicity 2)
Tl: 0.3333 0.6667 0.8792 (multiplicity 2)
Cd: 0.3333 0.6667 0.1384 (multiplicity 2)

The following is a DFT calculation (PBE) of a geometry-optimized ScZn4Cd structure.

Properties
- VASP energy: -2.06 eV/atom
- Size of the total moment: 0.0 μB/f.u.
- Energy of formation: -0.003 eV per atom

Cell: 3.723 3.723 16.503 Å, 90.00 90.00 90.00°
Space group I-4m2 (No. 119)
Unique sites:
Sc: 0.000 0.000 0.000 (multiplicity 2)
Zn: 0.000 0.000 0.424 (multiplicity 4)
Zn: 0.000 0.500 0.173 (multiplicity 4)
Cd: 0.000 0.500 0.750 (multiplicity 2)

The following is a DFT calculation (PBE) of a geometry-optimized Nd2AlAg3 structure.

Properties
- VASP energy: -3.87 eV/atom
- Offset from the most stable computed form: 64 meV per atom
- Size of the total moment: 0.0 μB/f.u.
- Energy of formation: -0.235 eV per atom

Cell: 3.993 4.367 17.132 Å, 90.00 90.00 90.00°
Space group Imm2 (No. 44)
Unique sites:
Nd: 0.000 0.000 0.000 (multiplicity 2)
Nd: 0.000 0.500 0.247 (multiplicity 2)
Al: 0.000 0.000 0.585 (multiplicity 2)
Ag: 0.000 0.000 0.430 (multiplicity 2)
Ag: 0.000 0.500 0.662 (multiplicity 2)
Ag: 0.000 0.500 0.823 (multiplicity 2)

The following is a DFT calculation (PBE) of a geometry-optimized GaBiP2Cl structure.

Properties
- VASP energy: -3.26 eV/atom
- Offset from the most stable computed form: 335 meV per atom
- ΔE_f (raw): 0.66 eV/atom
- Size of the total moment: 1.2 μB/f.u.

Cell: 5.335 5.335 5.576 Å, 90.00 90.00 90.00°
Space group P4/mmm (No. 123)
Unique sites:
Ga: 0.000 0.000 0.000 (multiplicity 1)
Bi: 0.500 0.500 0.500 (multiplicity 1)
P: 0.000 0.500 0.500 (multiplicity 2)
Cl: 0.500 0.500 0.000 (multiplicity 1)